The following is a DFT calculation (GGA-PBE) of crystalline LaYBr3 at its relaxed geometry.

a b c (Å): 3.862 7.730 17.878
angles (deg): 45.50 90.00 90.00
Positions (direct):
La: 0.099 0.180 0.848
Br: 0.599 0.779 0.915
Br: 0.599 0.887 0.321
Br: 0.599 0.607 0.742
Y: 0.099 0.207 0.295
Y: 0.599 0.762 0.078
Br: 0.099 0.362 0.631
Br: 0.099 0.190 0.458
Br: 0.099 0.083 0.052
La: 0.599 0.790 0.525

Values from the calculation:
As for the space-group type: P2_1/m, No. 11. For the total moment, the calculation gives 1.83 μB/cell. The raw total energy comes out at -46.7 eV per cell. The raw formation energy is -1.3871 eV per atom. The value obtained for the density of states at the Fermi level is 0.5020 states/eV/atom. For the volume, the calculation gives 190.32 Å³/f.u.